! BaMn4O7 PBE+U optimized geometry; values from VASP
! * V: 407.40 Å³/cell
! * total DFT energy (no corrections): -167.55 eV for the cell shown
! * Fermi-level density of states: 11.0 states/eV per cell
&SYSTEM
  ibrav = 0, nat = 24, ntyp = 3
/
ATOMIC_SPECIES
Ba 137.33 Ba.upf
Mn 54.94 Mn.upf
O 16.00 O.upf
CELL_PARAMETERS angstrom
6.5823 0.0000 0.0000
-3.2911 5.7004 0.0000
0.0000 0.0000 10.8579
ATOMIC_POSITIONS crystal
Ba 0.3333 0.6667 0.0000
Ba 0.6667 0.3333 0.5000
Mn 0.0000 0.0000 0.4818
Mn 0.0000 0.0000 0.9818
Mn 0.1696 0.3391 0.7257
Mn 0.1696 0.8304 0.7257
Mn 0.3391 0.1696 0.2257
Mn 0.6609 0.8304 0.7257
Mn 0.8304 0.1696 0.2257
Mn 0.8304 0.6609 0.2257
O 0.0000 0.0000 0.2956
O 0.0000 0.0000 0.7956
O 0.0470 0.5235 0.7913
O 0.1464 0.2927 0.5480
O 0.1464 0.8536 0.5480
O 0.2927 0.1464 0.0480
O 0.4765 0.5235 0.7913
O 0.4765 0.9530 0.7913
O 0.5235 0.0470 0.2913
O 0.5235 0.4765 0.2913
O 0.7073 0.8536 0.5480
O 0.8536 0.1464 0.0480
O 0.8536 0.7073 0.0480
O 0.9530 0.4765 0.2913